1.
# Li3Cr3GaO8 (GGA+U, relaxed)
# Mass density: 4.21 g/cm3
# Magnetic moment: 16.00 μB/cell
# E_tot: -6.626 eV/atom
# DOS at the Fermi energy: 9.89 states/eV per cell
data_Li3Cr3GaO8
_chemical_formula_sum 'Li6 Cr6 Ga2 O16'
_cell_length_a 10.2374
_cell_length_b 5.9192
_cell_length_c 5.9496
_cell_angle_alpha 90.00
_cell_angle_beta 125.05
_cell_angle_gamma 90.00
_symmetry_space_group_name_H-M 'C 1 2/m 1'
_symmetry_Int_Tables_number 12
loop_
_symmetry_equiv_pos_as_xyz
'x,y,z'
'-x,-y,-z'
'-x,y,-z'
'x,-y,z'
'x+1/2,y+1/2,z'
'-x+1/2,-y+1/2,-z'
'-x+1/2,y+1/2,-z'
'x+1/2,-y+1/2,z'
loop_
_atom_site_label
_atom_site_type_symbol
_atom_site_fract_x
_atom_site_fract_y
_atom_site_fract_z
Li1 Li 0.0000 0.0000 0.0000
Li2 Li 0.2500 0.2500 0.0000
Cr1 Cr 0.0000 0.5000 0.5000
Cr2 Cr 0.2500 0.2500 0.5000
Ga1 Ga 0.0000 0.0000 0.5000
O1 O 0.0113 0.2465 0.2849
O2 O 0.2393 0.0000 0.7157
O3 O 0.2419 0.5000 0.7249

=====

2.
# Li3Cr3GaO8 (GGA+U, relaxed)
# Mass density: 4.18 g/cm3
# Magnetic moment: 16.00 μB/cell
# E_tot: -6.646 eV/atom
data_Li3Cr3GaO8
_chemical_formula_sum 'Li6 Cr6 Ga2 O16'
_cell_length_a 5.1975
_cell_length_b 5.9456
_cell_length_c 10.2256
_cell_angle_alpha 106.59
_cell_angle_beta 100.07
_cell_angle_gamma 90.11
_symmetry_space_group_name_H-M 'P 1'
_symmetry_Int_Tables_number 1
loop_
_symmetry_equiv_pos_as_xyz
'x,y,z'
loop_
_atom_site_label
_atom_site_type_symbol
_atom_site_fract_x
_atom_site_fract_y
_atom_site_fract_z
Li1 Li 0.0000 0.0000 0.0000
Li2 Li 0.0021 0.5214 0.0069
Li3 Li 0.2773 0.8920 0.2748
Li4 Li 0.2847 0.4118 0.2816
Li5 Li 0.5174 0.3097 0.5274
Li6 Li 0.7368 0.1125 0.7436
Cr1 Cr 0.0143 0.0160 0.5098
Cr2 Cr 0.2470 0.3937 0.7633
Cr3 Cr 0.2633 0.8888 0.7607
Cr4 Cr 0.5043 0.2673 0.0139
Cr5 Cr 0.7602 0.6417 0.2619
Cr6 Cr 0.7710 0.1408 0.2599
Ga1 Ga 0.5132 0.7653 0.0095
Ga2 Ga 0.9982 0.5257 0.5161
O1 O 0.1058 0.7097 0.3882
O2 O 0.1225 0.1998 0.3910
O3 O 0.1633 0.2010 0.8900
O4 O 0.1702 0.7072 0.8892
O5 O 0.3348 0.5749 0.6419
O6 O 0.3469 0.0905 0.6415
O7 O 0.4037 0.5720 0.1346
O8 O 0.4122 0.0835 0.1332
O9 O 0.6000 0.4438 0.8980
O10 O 0.6093 0.9743 0.8965
O11 O 0.6706 0.4426 0.3803
O12 O 0.6788 0.9551 0.3807
O13 O 0.8508 0.3316 0.1345
O14 O 0.8576 0.8268 0.1350
O15 O 0.9020 0.3078 0.6258
O16 O 0.9215 0.8431 0.6281

=====

3.
# Li3Cr3GaO8 (GGA+U, relaxed)
# Mass density: 3.91 g/cm3
# Magnetic moment: 20.00 μB/cell
# E_tot: -6.371 eV/atom
# DOS at the Fermi energy: 0.02 states/eV per cell
data_Li3Cr3GaO8
_chemical_formula_sum 'Li6 Cr6 Ga2 O16'
_cell_length_a 5.5034
_cell_length_b 6.2053
_cell_length_c 9.3100
_cell_angle_alpha 88.46
_cell_angle_beta 89.27
_cell_angle_gamma 88.79
_symmetry_space_group_name_H-M 'P 1'
_symmetry_Int_Tables_number 1
loop_
_symmetry_equiv_pos_as_xyz
'x,y,z'
loop_
_atom_site_label
_atom_site_type_symbol
_atom_site_fract_x
_atom_site_fract_y
_atom_site_fract_z
Li1 Li 0.0000 0.0000 0.0000
Li2 Li 0.0639 0.3086 0.6439
Li3 Li 0.1774 0.4098 0.3665
Li4 Li 0.2506 0.1878 0.1601
Li5 Li 0.4222 0.8851 0.3084
Li6 Li 0.7026 0.8234 0.7986
Cr1 Cr 0.1987 0.7692 0.6820
Cr2 Cr 0.4760 0.3576 0.8342
Cr3 Cr 0.7163 0.6154 0.5321
Cr4 Cr 0.7291 0.3283 0.2479
Cr5 Cr 0.9531 0.7628 0.2110
Cr6 Cr 0.9689 0.4835 0.9442
Ga1 Ga 0.4776 0.6771 0.0494
Ga2 Ga 0.5723 0.1646 0.5187
O1 O 0.0249 0.0393 0.7549
O2 O 0.0362 0.4555 0.1630
O3 O 0.1477 0.7267 0.3908
O4 O 0.1554 0.1837 0.8629
O5 O 0.2678 0.8704 0.1225
O6 O 0.3821 0.6747 0.8504
O7 O 0.4284 0.4082 0.6174
O8 O 0.4308 0.1919 0.3415
O9 O 0.5295 0.8939 0.6076
O10 O 0.5346 0.3731 0.0541
O11 O 0.6516 0.6450 0.3154
O12 O 0.7981 0.7589 0.0057
O13 O 0.8590 0.3252 0.4710
O14 O 0.8792 0.0664 0.1947
O15 O 0.9116 0.5780 0.7285
O16 O 0.9956 0.8168 0.5049

=====

4.
# LiCrGaO4 (GGA+U, relaxed)
# Mass density: 4.35 g/cm3
# Magnetic moment: 8.00 μB/cell
# E_tot: -6.410 eV/atom
data_LiCrGaO4
_chemical_formula_sum 'Li4 Cr4 Ga4 O16'
_cell_length_a 5.8949
_cell_length_b 5.9608
_cell_length_c 8.3684
_cell_angle_alpha 90.00
_cell_angle_beta 90.00
_cell_angle_gamma 90.00
_symmetry_space_group_name_H-M 'I m m a'
_symmetry_Int_Tables_number 74
_symmetry_space_group_name_Hall '-I 2b 2'
loop_
_atom_site_label
_atom_site_type_symbol
_atom_site_fract_x
_atom_site_fract_y
_atom_site_fract_z
Li1 Li 0.0000 0.2500 0.1202
Cr1 Cr 0.2500 0.2500 0.7500
Ga1 Ga 0.0000 0.0000 0.5000
O1 O 0.0000 0.0315 0.7428
O2 O 0.2249 0.2500 0.5184